one) Compound: Ag3HgP
Source: Alexandria via LeMat-Bulk
Functional: PBEsol
Structure: relaxed

Summary:
**Total magnetic moment**: 0.000 μB per atom

Geometry as POSCAR:
```
Ag3HgP
1.0
4.7376 0.0000 0.0000
0.0000 4.7376 0.0000
0.0000 0.0000 4.7376
Ag Hg P
3 1 1
Direct
0.0000 0.0000 0.5000
0.0000 0.5000 0.0000
0.5000 0.0000 0.0000
0.5000 0.5000 0.5000
0.0000 0.0000 0.0000
```

two) Compound: Ag3HgP
Source: Alexandria via LeMat-Bulk
Functional: PBEsol
Structure: relaxed

Summary:
**Total magnetic moment**: 0.000 μB per atom

Geometry as POSCAR:
```
Ag3HgP
1.0
5.0294 0.0000 0.0000
0.0000 5.0294 0.0000
0.0000 0.0000 5.0294
Ag Hg P
3 1 1
Direct
0.0000 0.0000 0.5000
0.0000 0.5000 0.0000
0.5000 0.0000 0.0000
0.0000 0.0000 0.0000
0.5000 0.5000 0.5000
```

Most favorable first, least favorable last: one), two)

one) Compound: AgHgPS2
Source: Alexandria via LeMat-Bulk
Functional: PBEsol
Structure: relaxed

Summary:
**Total magnetic moment**: 0.136 μB per atom

Geometry as POSCAR:
```
AgHgPS2
1.0
4.7621 0.0000 0.0000
0.0000 4.7621 0.0000
0.0000 0.0000 4.7582
Ag Hg P S
1 1 1 2
Direct
0.0000 0.0000 0.0000
0.5000 0.5000 0.5000
0.0000 0.0000 0.5000
0.0000 0.5000 0.0000
0.5000 0.0000 0.0000
```

two) Compound: AgHgPS2
Source: Alexandria via LeMat-Bulk
Functional: PBEsol
Structure: relaxed

Summary:
**Total magnetic moment**: 0.254 μB per atom

Geometry as POSCAR:
```
AgHgPS2
1.0
4.9761 0.0000 0.0000
0.0000 4.9761 0.0000
0.0000 0.0000 4.8677
Ag Hg P S
1 1 1 2
Direct
0.0000 0.0000 0.0000
0.5000 0.5000 0.5000
0.5000 0.5000 0.0000
0.0000 0.5000 0.5000
0.5000 0.0000 0.5000
```

Most favorable first, least favorable last: one), two)

one) Compound: AgHgPb
Source: Alexandria via LeMat-Bulk
Functional: PBEsol
Structure: relaxed

Summary:
**Total magnetic moment**: 0.000 μB per atom

Geometry as POSCAR:
```
AgHgPb
1.0
0.0000 3.3323 3.3323
3.3323 0.0000 3.3323
3.3323 3.3323 0.0000
Ag Hg Pb
1 1 1
Direct
0.0000 0.0000 0.0000
0.2500 0.2500 0.2500
0.7500 0.7500 0.7500
```

two) Compound: AgHgPb
Source: Alexandria via LeMat-Bulk
Functional: PBEsol
Structure: relaxed

Summary:
**Total magnetic moment**: 0.000 μB per atom

Geometry as POSCAR:
```
AgHgPb
1.0
-1.6569 1.6569 6.1911
1.6569 -1.6569 6.1911
1.6569 1.6569 -6.1911
Ag Hg Pb
1 1 1
Direct
0.0000 0.0000 0.0000
0.6413 0.6413 0.0000
0.3356 0.3356 0.0000
```

Most favorable first, least favorable last: two), one)

one) Compound: AgHgTe
Source: Alexandria via LeMat-Bulk
Functional: PBEsol
Structure: relaxed

Summary:
**Total magnetic moment**: 0.000 μB per atom

Geometry as POSCAR:
```
AgHgTe
1.0
0.0000 3.4266 3.4266
3.4266 0.0000 3.4266
3.4266 3.4266 0.0000
Ag Hg Te
1 1 1
Direct
0.0000 0.0000 0.0000
0.5000 0.5000 0.5000
0.7500 0.7500 0.7500
```

two) Compound: AgHgTe
Source: Alexandria via LeMat-Bulk
Functional: PBEsol
Structure: relaxed

Summary:
**Total magnetic moment**: 0.000 μB per atom

Geometry as POSCAR:
```
AgHgTe
1.0
-1.5857 1.5857 6.8768
1.5857 -1.5857 6.8768
1.5857 1.5857 -6.8768
Ag Hg Te
1 1 1
Direct
0.0000 0.0000 0.0000
0.6410 0.6410 0.0000
0.3444 0.3444 0.0000
```

Most favorable first, least favorable last: two), one)

one) Compound: AgHg2Te
Source: Alexandria via LeMat-Bulk
Functional: PBEsol
Structure: relaxed

Summary:
**Total magnetic moment**: 0.000 μB per atom

Geometry as POSCAR:
```
AgHg2Te
1.0
-2.0203 2.0203 5.9228
2.0203 -2.0203 5.9228
2.0203 2.0203 -5.9228
Ag Hg Te
1 2 1
Direct
0.0000 0.0000 0.0000
0.2500 0.7500 0.5000
0.7500 0.2500 0.5000
0.5000 0.5000 0.0000
```

two) Compound: AgHg2Te
Source: Alexandria via LeMat-Bulk
Functional: PBEsol
Structure: relaxed

Summary:
**Total magnetic moment**: 0.000 μB per atom

Geometry as POSCAR:
```
AgHg2Te
1.0
4.1156 0.0000 0.0000
0.0000 4.1156 0.0000
0.0000 0.0000 5.8253
Ag Hg Te
1 2 1
Direct
0.0000 0.0000 0.0000
0.0000 0.0000 0.5000
0.5000 0.5000 0.5000
0.5000 0.5000 0.0000
```

three) Compound: AgHg2Te
Source: Alexandria via LeMat-Bulk
Functional: PBEsol
Structure: relaxed

Summary:
**Total magnetic moment**: 0.000 μB per atom

Geometry as POSCAR:
```
AgHg2Te
1.0
4.0383 0.0000 0.0000
0.0000 4.0487 0.0000
0.0000 0.0000 5.9130
Ag Hg Te
1 2 1
Direct
0.0000 0.0000 0.0000
0.0000 0.5000 0.5000
0.5000 0.0000 0.5000
0.5000 0.5000 0.0000
```

Most favorable first, least favorable last: two), three), one)

one) Compound: Ag2HgTe
Source: Alexandria via LeMat-Bulk
Functional: PBEsol
Structure: relaxed

Summary:
**Total magnetic moment**: 0.000 μB per atom

Geometry as POSCAR:
```
Ag2HgTe
1.0
3.8767 0.0000 0.0000
0.0000 3.8767 0.0000
0.0000 0.0000 5.6938
Ag Hg Te
2 1 1
Direct
0.0000 0.0000 0.0000
0.5000 0.5000 0.2828
0.0000 0.0000 0.4841
0.5000 0.5000 0.8000
```

two) Compound: Ag2HgTe
Source: Alexandria via LeMat-Bulk
Functional: PBEsol
Structure: relaxed

Summary:
**Total magnetic moment**: 0.000 μB per atom

Geometry as POSCAR:
```
Ag2HgTe
1.0
-2.1270 2.1270 4.5823
2.1270 -2.1270 4.5823
2.1270 2.1270 -4.5823
Ag Hg Te
2 1 1
Direct
0.0000 0.0000 0.0000
0.7500 0.2500 0.5000
0.5000 0.5000 0.0000
0.2500 0.7500 0.5000
```

Most favorable first, least favorable last: one), two)

one) Compound: AgHg2W
Source: Alexandria via LeMat-Bulk
Functional: PBEsol
Structure: relaxed

Summary:
**Total magnetic moment**: 0.000 μB per atom

Geometry as POSCAR:
```
AgHg2W
1.0
2.8481 0.0000 0.0000
0.0000 2.8481 0.0000
0.0000 0.0000 8.7514
Ag Hg W
1 2 1
Direct
0.0000 0.0000 0.0000
0.5000 0.5000 0.2514
0.5000 0.5000 0.7486
0.0000 0.0000 0.5000
```

two) Compound: AgHg2W
Source: Alexandria via LeMat-Bulk
Functional: PBEsol
Structure: relaxed

Summary:
**Total magnetic moment**: 0.196 μB per atom

Geometry as POSCAR:
```
AgHg2W
1.0
-2.0475 2.0475 4.3249
2.0475 -2.0475 4.3249
2.0475 2.0475 -4.3249
Ag Hg W
1 2 1
Direct
0.0000 0.0000 0.0000
0.5000 0.5000 0.0000
0.7500 0.2500 0.5000
0.2500 0.7500 0.5000
```

three) Compound: AgHg2W
Source: Alexandria via LeMat-Bulk
Functional: PBEsol
Structure: relaxed

Summary:
**Total magnetic moment**: 0.000 μB per atom

Geometry as POSCAR:
```
AgHg2W
1.0
2.8250 0.0000 0.0000
0.0000 4.9171 0.0000
0.0000 0.0000 5.1747
Ag Hg W
1 2 1
Direct
0.0000 0.0000 0.0000
0.5000 0.0000 0.4775
0.5000 0.5000 0.8618
0.0000 0.5000 0.3574
```

four) Compound: AgHg2W
Source: Alexandria via LeMat-Bulk
Functional: PBEsol
Structure: relaxed

Summary:
**Total magnetic moment**: 0.000 μB per atom

Geometry as POSCAR:
```
AgHg2W
1.0
5.4782 -1.3857 0.0000
5.4782 1.3857 0.0000
-2.1620 0.0000 4.7453
Ag Hg W
1 2 1
Direct
0.0000 0.0000 0.0000
0.2440 0.2440 0.9216
0.4798 0.4798 0.4825
0.7339 0.7339 0.4241
```

Most favorable first, least favorable last: one), four), three), two)

one) Compound: ZnAg2Hg
Source: Alexandria via LeMat-Bulk
Functional: PBEsol
Structure: relaxed

Summary:
**Total magnetic moment**: 0.000 μB per atom

Geometry as POSCAR:
```
ZnAg2Hg
1.0
-1.9432 2.0742 4.2064
1.9432 -2.0742 4.2064
1.9432 2.0742 -4.2064
Zn Ag Hg
1 2 1
Direct
0.0000 0.0000 0.0000
0.2411 0.7411 0.5000
0.4970 0.4970 0.0000
0.7529 0.2529 0.5000
```

two) Compound: ZnAg2Hg
Source: Alexandria via LeMat-Bulk
Functional: PBEsol
Structure: relaxed

Summary:
**Total magnetic moment**: 0.000 μB per atom

Geometry as POSCAR:
```
ZnAg2Hg
1.0
2.9998 0.0000 0.0000
0.0000 3.7752 0.0000
0.0000 0.0000 6.0067
Zn Ag Hg
1 2 1
Direct
0.0000 0.0000 0.0000
0.0000 0.0000 0.4648
0.5000 0.5000 0.2148
0.5000 0.5000 0.7328
```

three) Compound: ZnAg2Hg
Source: Alexandria via LeMat-Bulk
Functional: PBEsol
Structure: relaxed

Summary:
**Total magnetic moment**: 0.000 μB per atom

Geometry as POSCAR:
```
ZnAg2Hg
1.0
3.3630 0.0000 0.0000
0.0000 4.4936 0.0000
0.0000 0.0000 4.5015
Zn Ag Hg
1 2 1
Direct
0.0000 0.0000 0.0000
0.0000 0.5000 0.5000
0.5000 0.0000 0.5000
0.5000 0.5000 0.0000
```

four) Compound: ZnAg2Hg
Source: Alexandria via LeMat-Bulk
Functional: PBEsol
Structure: relaxed

Summary:
**Total magnetic moment**: 0.000 μB per atom

Geometry as POSCAR:
```
ZnAg2Hg
1.0
3.0225 0.0000 0.0000
0.0000 3.0225 0.0000
0.0000 0.0000 7.3732
Zn Ag Hg
1 2 1
Direct
0.0000 0.0000 0.0000
0.5000 0.5000 0.2217
0.5000 0.5000 0.7783
0.0000 0.0000 0.5000
```

Most favorable first, least favorable last: four), one), two), three)

one) Compound: ZnAg2Hg
Source: Alexandria via LeMat-Bulk
Functional: PBEsol
Structure: relaxed

Summary:
**Total magnetic moment**: 0.000 μB per atom

Geometry as POSCAR:
```
ZnAg2Hg
1.0
2.9314 0.0000 0.0000
0.0000 4.1739 0.0000
-1.4060 0.0000 5.6161
Zn Ag Hg
1 2 1
Direct
0.0000 0.0000 0.0000
0.2203 0.0000 0.4642
0.5864 0.5000 0.1874
0.8359 0.5000 0.7051
```

two) Compound: ZnAg2Hg
Source: Alexandria via LeMat-Bulk
Functional: PBEsol
Structure: relaxed

Summary:
**Total magnetic moment**: 0.000 μB per atom

Geometry as POSCAR:
```
ZnAg2Hg
1.0
4.7824 -1.4840 0.0000
4.7824 1.4840 0.0000
-1.2489 0.0000 4.7831
Zn Ag Hg
1 2 1
Direct
0.0000 0.0000 0.0000
0.2630 0.2630 0.7631
0.7370 0.7370 0.2369
0.5000 0.5000 0.5000
```

three) Compound: ZnAg2Hg
Source: Alexandria via LeMat-Bulk
Functional: PBEsol
Structure: relaxed

Summary:
**Total magnetic moment**: 0.000 μB per atom

Geometry as POSCAR:
```
ZnAg2Hg
1.0
4.8384 -1.4583 0.0000
4.8384 1.4583 0.0000
-1.0930 0.0000 4.8204
Zn Ag Hg
1 2 1
Direct
0.0000 0.0000 0.0000
0.2643 0.2643 0.7669
0.5067 0.5067 0.5207
0.7448 0.7448 0.2561
```

Most favorable first, least favorable last: two), one), three)

one) Compound: ZnAg2Hg
Source: Alexandria via LeMat-Bulk
Functional: PBEsol
Structure: relaxed

Summary:
**Total magnetic moment**: 0.000 μB per atom

Geometry as POSCAR:
```
ZnAg2Hg
1.0
-1.6209 2.2889 4.5491
1.6209 -2.2889 4.5491
1.6209 2.2889 -4.5491
Zn Ag Hg
1 2 1
Direct
0.0000 0.0000 0.0000
0.2329 0.7329 0.5000
0.7671 0.2671 0.5000
0.5000 0.5000 0.0000
```

two) Compound: ZnAg2Hg
Source: Alexandria via LeMat-Bulk
Functional: PBEsol
Structure: relaxed

Summary:
**Total magnetic moment**: 0.000 μB per atom

Geometry as POSCAR:
```
ZnAg2Hg
1.0
-2.0123 2.0123 4.1907
2.0123 -2.0123 4.1907
2.0123 2.0123 -4.1907
Zn Ag Hg
1 2 1
Direct
0.0000 0.0000 0.0000
0.5000 0.5000 0.0000
0.7500 0.2500 0.5000
0.2500 0.7500 0.5000
```

Most favorable first, least favorable last: two), one)

one) Compound: Zn2Ag2Hg
Source: Alexandria via LeMat-Bulk
Functional: PBEsol
Structure: relaxed

Summary:
**Total magnetic moment**: 0.000 μB per atom

Geometry as POSCAR:
```
Zn2Ag2Hg
1.0
-1.7946 1.7946 6.7700
1.7946 -1.7946 6.7700
1.7946 1.7946 -6.7700
Zn Ag Hg
2 2 1
Direct
0.2500 0.7500 0.5000
0.7500 0.2500 0.5000
0.1037 0.1037 0.0000
0.8963 0.8963 0.0000
0.5000 0.5000 0.0000
```

two) Compound: Zn2Ag2Hg
Source: Alexandria via LeMat-Bulk
Functional: PBEsol
Structure: relaxed

Summary:
**Total magnetic moment**: 0.000 μB per atom

Geometry as POSCAR:
```
Zn2Ag2Hg
1.0
7.4674 0.0000 0.0000
0.0000 7.4674 0.0000
0.0000 0.0000 3.0177
Zn Ag Hg
4 4 2
Direct
0.1605 0.3395 0.0000
0.3395 0.8395 0.0000
0.6605 0.1605 0.0000
0.8395 0.6605 0.0000
0.1366 0.6366 0.5000
0.3634 0.1366 0.5000
0.6366 0.8634 0.5000
0.8634 0.3634 0.5000
0.0000 0.0000 0.5000
0.5000 0.5000 0.5000
```

Most favorable first, least favorable last: two), one)

one) Compound: Ho2InAg
Source: Alexandria via LeMat-Bulk
Functional: PBEsol
Structure: relaxed

Summary:
**Total magnetic moment**: 0.000 μB per atom

Geometry as POSCAR:
```
Ho2InAg
1.0
0.0000 3.6306 3.6306
3.6306 0.0000 3.6306
3.6306 3.6306 0.0000
Ho In Ag
2 1 1
Direct
0.2500 0.2500 0.2500
0.7500 0.7500 0.7500
0.0000 0.0000 0.0000
0.5000 0.5000 0.5000
```

two) Compound: Ho2InAg
Source: Alexandria via LeMat-Bulk
Functional: PBEsol
Structure: relaxed

Summary:
**Total magnetic moment**: 0.000 μB per atom

Geometry as POSCAR:
```
Ho2InAg
1.0
3.5347 0.0000 0.0000
0.0000 3.5347 0.0000
0.0000 0.0000 7.5652
Ho In Ag
2 1 1
Direct
0.0000 0.0000 0.2366
0.0000 0.0000 0.7634
0.5000 0.5000 0.5000
0.5000 0.5000 0.0000
```

Most favorable first, least favorable last: two), one)